Entry from the Alexandria database: a relaxed SnOsO3 crystal (PBEsol).

POSCAR file:
```
SnOsO3
1.0
4.003 0.000 0.000
0.000 4.003 0.000
0.000 0.000 4.003
Sn Os O
1 1 3
Direct
0.000 0.000 0.000
0.500 0.500 0.500
0.000 0.000 0.500
0.000 0.500 0.000
0.500 0.000 0.000
```

Computed properties:
Theoretical density, g cm⁻³: 9.2
Total DFT energy (no corrections), eV/atom: -6.198
Magnetization, μB/atom: 0.835